Entry 1:
VASP calculation (PBE-GGA) on crystalline RbNaGa2Cu at its relaxed geometry. Values from VASP.

Cell and atoms, written as Quantum ESPRESSO input:
```
&SYSTEM
  ibrav = 0, nat = 5, ntyp = 4
/
ATOMIC_SPECIES
Ga 69.72 Ga.upf
Na 22.99 Na.upf
Rb 85.47 Rb.upf
Cu 63.55 Cu.upf
ATOMIC_POSITIONS crystal
Ga 0.0000 0.5000 0.0000
Ga 0.5000 0.0000 0.0000
Na 0.0000 0.0000 0.5000
Rb 0.5000 0.5000 0.5000
Cu 0.0000 0.0000 0.0000
CELL_PARAMETERS angstrom
-1.0866 0.0040 -4.6964
-3.1198 -3.6037 0.7188
-4.1025 3.7416 0.9524
```

**Space group**: P4/mmm, No. 123
**Spin magnetization**: 0.00 μB per formula unit
**DFT total energy**: -2.42 eV/atom

Entry 2:
VASP calculation (PBE-GGA) on crystalline NaGaCu2Re at its relaxed geometry. Values from VASP.

Cell and atoms, written as Quantum ESPRESSO input:
```
&SYSTEM
  ibrav = 0, nat = 5, ntyp = 4
/
ATOMIC_SPECIES
Cu 63.55 Cu.upf
Na 22.99 Na.upf
Re 186.21 Re.upf
Ga 69.72 Ga.upf
ATOMIC_POSITIONS crystal
Cu 0.0000 0.0000 0.5000
Cu 0.5000 0.0000 0.0000
Na 0.0000 0.5000 0.0000
Re 0.0000 0.0000 0.0000
Ga 0.5000 0.5000 0.5000
CELL_PARAMETERS angstrom
4.7066 0.0000 0.0000
0.0000 5.4676 0.0000
0.0000 0.0000 4.7066
```

**Space group**: P4/mmm, No. 123
**Spin magnetization**: 1.35 μB per formula unit
**DFT total energy**: -3.55 eV/atom

Entry 3:
VASP calculation (PBE-GGA) on crystalline NaGa2CuS4 at its relaxed geometry. Values from VASP.

Cell and atoms, written as Quantum ESPRESSO input:
```
&SYSTEM
  ibrav = 0, nat = 8, ntyp = 4
/
ATOMIC_SPECIES
S 32.06 S.upf
Ga 69.72 Ga.upf
Na 22.99 Na.upf
Cu 63.55 Cu.upf
ATOMIC_POSITIONS crystal
S 0.0466 0.8623 0.5911
S 0.9534 0.4089 0.1377
S 0.5000 0.1377 0.4089
S 0.5000 0.5911 0.8623
Ga 0.0000 0.2500 0.7500
Ga 0.0000 0.7500 0.2500
Na 0.5000 0.0000 0.0000
Cu 0.5000 0.5000 0.5000
CELL_PARAMETERS angstrom
-1.8744 3.8971 -3.1787
-0.1921 -1.8963 -6.7426
-5.9692 2.7789 2.3960
```

**Raw formation energy**: -701 meV per atom
**Space group**: I-42m, No. 121
**Spin magnetization**: 0.00 μB per formula unit

Entry 4:
VASP calculation (PBE-GGA) on crystalline NaGaCuSn2 at its relaxed geometry. Values from VASP.

Cell and atoms, written as Quantum ESPRESSO input:
```
&SYSTEM
  ibrav = 0, nat = 5, ntyp = 4
/
ATOMIC_SPECIES
Na 22.99 Na.upf
Cu 63.55 Cu.upf
Sn 118.71 Sn.upf
Ga 69.72 Ga.upf
ATOMIC_POSITIONS crystal
Na 0.0000 0.0000 0.0000
Cu 0.5000 0.5000 0.5000
Sn 0.0000 0.0000 0.5000
Sn 0.5000 0.0000 0.0000
Ga 0.0000 0.5000 0.0000
CELL_PARAMETERS angstrom
5.3681 0.0000 0.0000
0.0000 5.0954 0.0000
0.0000 0.0000 5.3681
```

**Space group**: P4/mmm, No. 123
**Spin magnetization**: 0.00 μB per formula unit
**DFT total energy**: -2.35 eV/atom

Entry 5:
VASP calculation (PBE-GGA) on crystalline NaSr2GaCu at its relaxed geometry. Values from VASP.

Cell and atoms, written as Quantum ESPRESSO input:
```
&SYSTEM
  ibrav = 0, nat = 5, ntyp = 4
/
ATOMIC_SPECIES
Sr 87.62 Sr.upf
Ga 69.72 Ga.upf
Cu 63.55 Cu.upf
Na 22.99 Na.upf
ATOMIC_POSITIONS crystal
Sr 0.5000 0.0000 0.0000
Sr 0.0000 0.5000 0.0000
Ga 0.0000 0.0000 0.5000
Cu 0.0000 0.0000 0.0000
Na 0.5000 0.5000 0.5000
CELL_PARAMETERS angstrom
6.0188 0.0000 0.0000
0.0000 6.0188 0.0000
0.0000 0.0000 4.6669
```

**Space group**: P4/mmm, No. 123
**Spin magnetization**: 0.00 μB per formula unit
**DFT total energy**: -2.44 eV/atom

Entry 6:
VASP calculation (PBE-GGA) on crystalline NaTl2GaCu at its relaxed geometry. Values from VASP.

Cell and atoms, written as Quantum ESPRESSO input:
```
&SYSTEM
  ibrav = 0, nat = 5, ntyp = 4
/
ATOMIC_SPECIES
Tl 204.38 Tl.upf
Na 22.99 Na.upf
Ga 69.72 Ga.upf
Cu 63.55 Cu.upf
ATOMIC_POSITIONS crystal
Tl 0.5000 0.0000 0.0000
Tl 0.0000 0.5000 0.0000
Na 0.5000 0.5000 0.5000
Ga 0.0000 0.0000 0.5000
Cu 0.0000 0.0000 0.0000
CELL_PARAMETERS angstrom
-0.1631 -2.2864 -4.8274
-4.2991 -2.8100 1.4762
-2.7973 3.4667 -1.5474
```

**Space group**: P4/mmm, No. 123
**Spin magnetization**: 0.00 μB per formula unit
**DFT total energy**: -2.53 eV/atom

Entry 7:
VASP calculation (PBE-GGA) on crystalline NaTlGa2Cu at its relaxed geometry. Values from VASP.

Cell and atoms, written as Quantum ESPRESSO input:
```
&SYSTEM
  ibrav = 0, nat = 5, ntyp = 4
/
ATOMIC_SPECIES
Ga 69.72 Ga.upf
Tl 204.38 Tl.upf
Na 22.99 Na.upf
Cu 63.55 Cu.upf
ATOMIC_POSITIONS crystal
Ga 0.5000 0.0000 0.0000
Ga 0.0000 0.5000 0.0000
Tl 0.5000 0.5000 0.5000
Na 0.0000 0.0000 0.5000
Cu 0.0000 0.0000 0.0000
CELL_PARAMETERS angstrom
-1.5546 1.9184 3.9983
-2.0061 -4.0828 1.1789
4.5182 -1.5044 2.4786
```

**Space group**: P4/mmm, No. 123
**Spin magnetization**: 0.00 μB per formula unit
**DFT total energy**: -2.70 eV/atom

Entry 8:
VASP calculation (PBE-GGA) on crystalline NaZnGa2Cu at its relaxed geometry. Values from VASP.

Cell and atoms, written as Quantum ESPRESSO input:
```
&SYSTEM
  ibrav = 0, nat = 5, ntyp = 4
/
ATOMIC_SPECIES
Na 22.99 Na.upf
Zn 65.41 Zn.upf
Ga 69.72 Ga.upf
Cu 63.55 Cu.upf
ATOMIC_POSITIONS crystal
Na 0.5000 0.5000 0.5000
Zn 0.0000 0.0000 0.5000
Ga 0.0000 0.5000 0.0000
Ga 0.5000 0.0000 0.0000
Cu 0.0000 0.0000 0.0000
CELL_PARAMETERS angstrom
4.7172 0.0000 0.0000
0.0000 4.7172 0.0000
0.0000 0.0000 4.7450
```

**Space group**: P4/mmm, No. 123
**Spin magnetization**: 0.00 μB per formula unit
**DFT total energy**: -2.47 eV/atom